! Sr2CdSnN (GGA-PBE, relaxed); values from VASP
&SYSTEM
  ibrav = 0, nat = 5, ntyp = 4
/
ATOMIC_SPECIES
Sn 118.71 Sn.upf
Sr 87.62 Sr.upf
Cd 112.41 Cd.upf
N 14.01 N.upf
ATOMIC_POSITIONS angstrom
Sn -0.863 -3.840 1.963
Sr 0.582 -2.433 -0.902
Cd 0.918 -0.529 2.020
Sr -2.363 -0.878 0.844
N 0.000 0.000 0.000
CELL_PARAMETERS angstrom
-4.726 -1.757 1.688
1.164 -4.865 -1.804
1.837 -1.058 4.040
! energy relative to the elements, uncorrected	-372	meV/atom
! total moment	0.00	μB per atom

! Ba2Hg2RhO6 (GGA-PBE, relaxed); values from VASP
&SYSTEM
  ibrav = 0, nat = 11, ntyp = 4
/
ATOMIC_SPECIES
Rh 102.91 Rh.upf
O 16.00 O.upf
Hg 200.59 Hg.upf
Ba 137.33 Ba.upf
ATOMIC_POSITIONS angstrom
Rh 1.100 2.792 0.233
O -2.151 4.665 4.804
O -1.699 2.812 -3.955
Hg -3.166 1.359 -4.080
Ba -1.864 3.562 2.252
O -0.808 2.223 0.242
Hg -2.883 0.534 4.463
Ba -1.985 3.915 -1.402
O -3.042 5.253 0.608
O -1.418 1.993 4.522
O -2.432 5.484 -3.672
CELL_PARAMETERS angstrom
-3.216 1.504 -5.583
-2.834 0.389 5.966
2.200 5.584 0.467
! energy relative to the elements, uncorrected	-1264	meV/atom
! total moment	0.09	μB per atom

! Tb8Ho4Pu (GGA-PBE, relaxed); values from VASP
&SYSTEM
  ibrav = 0, nat = 13, ntyp = 3
/
ATOMIC_SPECIES
Tb 158.93 Tb.upf
Ho 164.93 Ho.upf
Pu 244.00 Pu.upf
ATOMIC_POSITIONS angstrom
Tb -5.365 2.362 2.555
Ho 0.789 3.202 4.337
Ho -3.591 -0.045 4.097
Tb -1.475 1.823 2.261
Ho -3.236 4.305 0.820
Pu -3.019 3.731 4.627
Ho 0.000 0.000 0.000
Tb -5.149 1.782 6.454
Tb -1.251 1.234 6.149
Tb -0.889 5.680 2.800
Tb -4.563 5.639 6.993
Tb -0.673 5.101 6.699
Tb -4.787 6.228 3.105
CELL_PARAMETERS angstrom
-7.617 1.058 0.581
0.435 -1.148 7.613
1.144 7.552 1.060
! uncorrected energy	-4.85	eV/atom
! total moment	0.51	μB per atom

! CsNbSb2I (GGA-PBE, relaxed); values from VASP
&SYSTEM
  ibrav = 0, nat = 5, ntyp = 4
/
ATOMIC_SPECIES
I 126.90 I.upf
Sb 121.76 Sb.upf
Nb 92.91 Nb.upf
Cs 132.91 Cs.upf
ATOMIC_POSITIONS angstrom
I 3.014 -1.085 0.776
Sb -1.028 -2.912 -0.078
Sb 0.711 -0.171 -3.001
Nb 2.696 -4.168 -2.303
Cs 0.000 0.000 0.000
CELL_PARAMETERS angstrom
-2.057 -5.823 -0.155
1.421 -0.342 -6.002
6.028 -2.170 1.551
! energy relative to the elements, uncorrected	1802	meV/atom
! polymorph energy (0 for the lowest one)	194.7	kJ per mole of atoms
! total moment	0.38	μB per atom

! Tl17Cd11Ag (GGA-PBE, relaxed); values from VASP
&SYSTEM
  ibrav = 0, nat = 29, ntyp = 3
/
ATOMIC_SPECIES
Cd 112.41 Cd.upf
Tl 204.38 Tl.upf
Ag 107.87 Ag.upf
ATOMIC_POSITIONS angstrom
Cd 1.805 0.751 2.923
Tl 7.169 4.501 1.461
Tl 2.428 -2.016 -1.690
Cd 4.176 -7.338 1.702
Tl 4.656 4.895 5.305
Cd 3.460 0.492 0.391
Tl 4.200 -4.062 3.162
Cd 7.436 3.920 -1.849
Tl 6.698 -5.286 0.982
Tl 3.049 1.784 5.760
Cd 0.633 2.377 8.268
Tl 2.261 -0.539 8.286
Cd 1.701 4.819 6.925
Tl 2.628 -1.618 4.986
Cd 4.045 5.792 2.050
Ag 2.385 -1.931 1.757
Cd 0.182 -2.836 6.696
Tl 5.472 -0.456 3.623
Tl 4.514 2.649 2.679
Tl 8.401 -1.502 -1.108
Tl 5.449 -2.061 0.670
Cd 5.898 -3.732 -2.049
Cd 7.996 1.223 -2.997
Tl 0.050 -0.015 0.034
Tl 5.966 -6.621 4.578
Tl 3.118 -4.725 6.460
Cd 2.558 -7.084 4.178
Tl 6.641 1.221 0.266
Tl -0.739 -1.520 3.156
CELL_PARAMETERS angstrom
-2.194 -4.272 8.932
6.833 -5.687 -4.880
3.792 9.270 1.528
! uncorrected energy	-1.81	eV/atom
! total moment	0.00	μB per atom

! Li2ErAlGe2 (GGA-PBE, relaxed); values from VASP
&SYSTEM
  ibrav = 0, nat = 12, ntyp = 4
/
ATOMIC_SPECIES
Li 6.94 Li.upf
Al 26.98 Al.upf
Ge 72.64 Ge.upf
Er 167.26 Er.upf
ATOMIC_POSITIONS angstrom
Li -1.512 -2.377 0.567
Al -4.407 -3.119 1.353
Ge -1.191 -3.533 5.955
Al -2.462 -1.454 5.251
Li -3.708 -6.767 4.498
Li -4.090 -4.113 6.190
Ge -3.057 -4.337 -0.415
Ge -2.892 -1.281 2.593
Er -2.114 -4.076 3.288
Ge -4.992 -4.623 3.514
Li -1.848 0.761 0.869
Er -4.120 -6.400 1.281
CELL_PARAMETERS angstrom
-3.372 2.310 0.696
-4.077 -5.349 -1.993
-0.241 -2.611 7.500
! uncorrected energy	-4.08	eV/atom
! total moment	0.00	μB per atom

What did the sixth record say?
! Li2ErAlGe2 (GGA-PBE, relaxed); values from VASP
&SYSTEM
  ibrav = 0, nat = 12, ntyp = 4
/
ATOMIC_SPECIES
Li 6.94 Li.upf
Al 26.98 Al.upf
Ge 72.64 Ge.upf
Er 167.26 Er.upf
ATOMIC_POSITIONS angstrom
Li -1.512 -2.377 0.567
Al -4.407 -3.119 1.353
Ge -1.191 -3.533 5.955
Al -2.462 -1.454 5.251
Li -3.708 -6.767 4.498
Li -4.090 -4.113 6.190
Ge -3.057 -4.337 -0.415
Ge -2.892 -1.281 2.593
Er -2.114 -4.076 3.288
Ge -4.992 -4.623 3.514
Li -1.848 0.761 0.869
Er -4.120 -6.400 1.281
CELL_PARAMETERS angstrom
-3.372 2.310 0.696
-4.077 -5.349 -1.993
-0.241 -2.611 7.500
! uncorrected energy	-4.08	eV/atom
! total moment	0.00	μB per atom

- What is the total moment in the second record?
  0.09 μB per atom